No. 1
Entry from the Alexandria database: Li2AgPt after structural relaxation (GGA-PBEsol).

Results
The formation energy is -6.74 kcal/mol of atoms.

Cell: 6.182 6.182 6.182 Å, 90.00 90.00 90.00°
Space group F-43m (No. 216)
Symmetry-distinct sites (fractional):
Li  0.000  0.000  0.000 (multiplicity 4)
Li  0.250  0.250  0.250 (multiplicity 4)
Ag  0.000  0.000  0.500 (multiplicity 4)
Pt  0.250  0.250  0.750 (multiplicity 4)

***

No. 2
Entry from the Alexandria database: Li2AgPt2 after structural relaxation (GGA-PBEsol).

Results
The formation energy is 3.73 kcal/mol of atoms.

Cell: 4.460 4.460 7.948 Å, 90.00 90.00 90.00°
Space group I4/mmm (No. 139)
Symmetry-distinct sites (fractional):
Li  0.000  0.500  0.250 (multiplicity 4)
Ag  0.000  0.000  0.000 (multiplicity 2)
Pt  0.000  0.000  0.344 (multiplicity 4)

***

No. 3
Entry from the Alexandria database: Li2AgPt after structural relaxation (GGA-PBEsol).

Results
The formation energy is -3.93 kcal/mol of atoms.

Cell: 2.855 4.629 9.426 Å, 90.00 90.00 90.00°
Space group Cmm2 (No. 35)
Symmetry-distinct sites (fractional):
Li  0.000  0.000  0.000 (multiplicity 2)
Li  0.000  0.500  0.286 (multiplicity 2)
Ag  0.000  0.500  0.765 (multiplicity 2)
Pt  0.000  0.000  0.503 (multiplicity 2)

***

No. 4
Entry from the Alexandria database: Li2AgPt after structural relaxation (GGA-PBEsol).

Results
The formation energy is -8.10 kcal/mol of atoms.

Cell: 2.783 2.783 7.244 Å, 90.00 90.00 90.00°
Space group P4/mmm (No. 123)
Symmetry-distinct sites (fractional):
Li  0.000  0.000  0.229 (multiplicity 2)
Ag  0.500  0.500  0.500 (multiplicity 1)
Pt  0.500  0.500  0.000 (multiplicity 1)

***

No. 5
Entry from the Alexandria database: Li3AgPt after structural relaxation (GGA-PBEsol).

Results
The formation energy is 2.69 kcal/mol of atoms.

Cell: 4.633 4.633 4.633 Å, 90.00 90.00 90.00°
Space group Pm-3m (No. 221)
Symmetry-distinct sites (fractional):
Li  0.000  0.000  0.500 (multiplicity 3)
Ag  0.500  0.500  0.500 (multiplicity 1)
Pt  0.000  0.000  0.000 (multiplicity 1)

***

No. 6
Entry from the Alexandria database: Li2AgPt after structural relaxation (GGA-PBEsol).

Results
The formation energy is -7.25 kcal/mol of atoms.

Cell: 3.005 4.547 8.422 Å, 90.00 90.00 90.00°
Space group Immm (No. 71)
Symmetry-distinct sites (fractional):
Li  0.000  0.000  0.245 (multiplicity 4)
Ag  0.000  0.500  0.000 (multiplicity 2)
Pt  0.000  0.500  0.500 (multiplicity 2)

***

No. 7
Entry from the Alexandria database: LiAg2Pt after structural relaxation (GGA-PBEsol).

Results
The formation energy is -4.21 kcal/mol of atoms.

Cell: 9.245 2.815 4.800 Å, 90.00 100.39 90.00°
Space group Cm (No. 8)
Symmetry-distinct sites (fractional):
Li  0.000  0.000  0.000 (multiplicity 2)
Ag  0.008  0.500  0.520 (multiplicity 2)
Ag  0.256  0.500  0.263 (multiplicity 2)
Pt  0.257  0.000  0.769 (multiplicity 2)

***

No. 8
Entry from the Alexandria database: Li2AgPt after structural relaxation (GGA-PBEsol).

Results
The formation energy is -7.54 kcal/mol of atoms.

Cell: 9.721 2.780 4.544 Å, 90.00 112.55 90.00°
Space group Cm (No. 8)
Symmetry-distinct sites (fractional):
Li  0.000  0.000  0.000 (multiplicity 2)
Li  0.238  0.000  0.584 (multiplicity 2)
Ag  0.248  0.500  0.091 (multiplicity 2)
Pt  0.497  0.000  0.505 (multiplicity 2)

***

No. 9
Entry from the Alexandria database: Li2AgPt after structural relaxation (GGA-PBEsol).

Results
The formation energy is -7.90 kcal/mol of atoms.

Cell: 3.951 3.951 7.069 Å, 90.00 90.00 90.00°
Space group I4/mmm (No. 139)
Symmetry-distinct sites (fractional):
Li  0.000  0.500  0.250 (multiplicity 4)
Ag  0.000  0.000  0.000 (multiplicity 2)
Pt  0.000  0.000  0.500 (multiplicity 2)

***

No. 10
Entry from the Alexandria database: Li2AgPt after structural relaxation (GGA-PBEsol).

Results
The formation energy is -6.64 kcal/mol of atoms.

Cell: 2.702 4.137 5.236 Å, 90.00 90.00 90.00°
Space group Pmm2 (No. 25)
Symmetry-distinct sites (fractional):
Li  0.000  0.000  0.000 (multiplicity 1)
Li  0.500  0.500  0.283 (multiplicity 1)
Ag  0.500  0.500  0.764 (multiplicity 1)
Pt  0.000  0.000  0.494 (multiplicity 1)

***

No. 11
Entry from the Alexandria database: Li2AgPt after structural relaxation (GGA-PBEsol).

Results
The formation energy is -7.18 kcal/mol of atoms.

Cell: 2.704 4.207 5.142 Å, 90.00 105.07 90.00°
Space group Pm (No. 6)
Symmetry-distinct sites (fractional):
Li  0.000  0.000  0.000 (multiplicity 1)
Li  0.133  0.500  0.275 (multiplicity 1)
Ag  0.385  0.500  0.772 (multiplicity 1)
Pt  0.734  0.000  0.473 (multiplicity 1)

***

No. 12
Entry from the Alexandria database: Li2AgPt after structural relaxation (GGA-PBEsol).

Results
The formation energy is -8.01 kcal/mol of atoms.

Cell: 5.566 7.128 2.786 Å, 90.00 90.00 90.00°
Space group Cmmm (No. 65)
Symmetry-distinct sites (fractional):
Li  0.250  0.250  0.000 (multiplicity 4)
Ag  0.000  0.000  0.500 (multiplicity 2)
Pt  0.000  0.500  0.500 (multiplicity 2)

***

No. 13
Entry from the Alexandria database: Rb2LiAg2 after structural relaxation (GGA-PBEsol).

Results
The formation energy is 10.09 kcal/mol of atoms.

Cell: 5.218 5.218 14.565 Å, 90.00 90.00 90.00°
Space group I4/mmm (No. 139)
Symmetry-distinct sites (fractional):
Rb  0.000  0.500  0.250 (multiplicity 4)
Li  0.000  0.000  0.000 (multiplicity 2)
Ag  0.000  0.000  0.409 (multiplicity 4)

***

No. 14
Entry from the Alexandria database: Rb3LiAg after structural relaxation (GGA-PBEsol).

Results
The formation energy is 5.51 kcal/mol of atoms.

Cell: 6.750 6.750 6.750 Å, 90.00 90.00 90.00°
Space group Pm-3m (No. 221)
Symmetry-distinct sites (fractional):
Rb  0.000  0.000  0.500 (multiplicity 3)
Li  0.500  0.500  0.500 (multiplicity 1)
Ag  0.000  0.000  0.000 (multiplicity 1)

***

No. 15
Entry from the Alexandria database: RbLiAg2 after structural relaxation (GGA-PBEsol).

Results
The formation energy is 6.28 kcal/mol of atoms.

Cell: 8.264 8.264 5.793 Å, 90.00 90.00 90.00°
Space group I-42d (No. 122)
Symmetry-distinct sites (fractional):
Rb  0.000  0.000  0.000 (multiplicity 4)
Li  0.000  0.000  0.500 (multiplicity 4)
Ag  0.199  0.750  0.625 (multiplicity 8)

***

No. 16
Entry from the Alexandria database: Li2ReAg after structural relaxation (GGA-PBEsol).

Results
The excess energy over the best structure of this formula in the dataset comes out at 0.00 kJ/mol of atoms. The formation energy is 19.13 kcal/mol of atoms.

Cell: 6.006 6.006 6.006 Å, 90.00 90.00 90.00°
Space group Fm-3m (No. 225)
Symmetry-distinct sites (fractional):
Li  0.250  0.250  0.250 (multiplicity 8)
Re  0.000  0.000  0.000 (multiplicity 4)
Ag  0.000  0.000  0.500 (multiplicity 4)

***

No. 17
Entry from the Alexandria database: Li2ReAg after structural relaxation (GGA-PBEsol).

Results
The excess energy over the best structure of this formula in the dataset comes out at 16.62 kJ/mol of atoms. The formation energy is 23.10 kcal/mol of atoms.

Cell: 6.577 6.577 5.263 Å, 90.00 90.00 90.00°
Space group I-42d (No. 122)
Symmetry-distinct sites (fractional):
Li  0.236  0.750  0.125 (multiplicity 8)
Re  0.000  0.000  0.500 (multiplicity 4)
Ag  0.000  0.000  0.000 (multiplicity 4)

***

No. 18
Entry from the Alexandria database: LiRe2Ag after structural relaxation (GGA-PBEsol).

Results
The formation energy is 10.78 kcal/mol of atoms.

Cell: 6.117 6.117 6.117 Å, 90.00 90.00 90.00°
Space group F-43m (No. 216)
Symmetry-distinct sites (fractional):
Li  0.000  0.000  0.000 (multiplicity 4)
Re  0.000  0.000  0.500 (multiplicity 4)
Re  0.250  0.250  0.250 (multiplicity 4)
Ag  0.250  0.250  0.750 (multiplicity 4)

***

No. 19
Entry from the Alexandria database: LiReAg after structural relaxation (GGA-PBEsol).

Results
The formation energy is 8.70 kcal/mol of atoms.

Cell: 2.590 2.590 13.340 Å, 90.00 90.00 90.00°
Space group I4mm (No. 107)
Symmetry-distinct sites (fractional):
Li  0.000  0.000  0.000 (multiplicity 2)
Re  0.000  0.000  0.663 (multiplicity 2)
Ag  0.000  0.000  0.334 (multiplicity 2)

***

No. 20
Entry from the Alexandria database: Li2AgRh after structural relaxation (GGA-PBEsol).

Results
The formation energy is -0.70 kcal/mol of atoms.

Cell: 3.832 3.832 7.514 Å, 90.00 90.00 90.00°
Space group I4/mmm (No. 139)
Symmetry-distinct sites (fractional):
Li  0.000  0.500  0.250 (multiplicity 4)
Ag  0.000  0.000  0.000 (multiplicity 2)
Rh  0.000  0.000  0.500 (multiplicity 2)

***

No. 21
Entry from the Alexandria database: Li2AgRh after structural relaxation (GGA-PBEsol).

Results
The formation energy is -1.90 kcal/mol of atoms.

Cell: 8.709 2.682 4.854 Å, 90.00 99.00 90.00°
Space group C2/m (No. 12)
Symmetry-distinct sites (fractional):
Li  0.247  0.000  0.231 (multiplicity 4)
Ag  0.000  0.000  0.500 (multiplicity 2)
Rh  0.000  0.500  0.000 (multiplicity 2)

***

No. 22
Entry from the Alexandria database: Li2AgRh after structural relaxation (GGA-PBEsol).

Results
The formation energy is 0.93 kcal/mol of atoms.

Cell: 2.705 2.705 8.329 Å, 90.00 90.00 90.00°
Space group P4mm (No. 99)
Symmetry-distinct sites (fractional):
Li  0.000  0.000  0.000 (multiplicity 1)
Li  0.500  0.500  0.302 (multiplicity 1)
Ag  0.500  0.500  0.764 (multiplicity 1)
Rh  0.000  0.000  0.515 (multiplicity 1)

***

No. 23
Entry from the Alexandria database: Li2AgRh after structural relaxation (GGA-PBEsol).

Results
The formation energy is -2.78 kcal/mol of atoms.

Cell: 2.7223 2.7223 26.4607 Å, 90.00 90.00 120.00°
Space group R-3m (No. 166, hexagonal axes)
Symmetry-distinct sites (fractional):
Li  0.0000  0.0000  0.2438 (multiplicity 6)
Ag  0.0000  0.0000  0.0000 (multiplicity 3)
Rh  0.0000  0.0000  0.5000 (multiplicity 3)

***

No. 24
Entry from the Alexandria database: Li2AgRh after structural relaxation (GGA-PBEsol).

Results
The formation energy is -1.58 kcal/mol of atoms.

Cell: 2.639 4.302 4.962 Å, 90.00 93.67 90.00°
Space group P2/m (No. 10)
Symmetry-distinct sites (fractional):
Li  0.218  0.000  0.229 (multiplicity 2)
Ag  0.000  0.500  0.500 (multiplicity 1)
Rh  0.500  0.500  0.000 (multiplicity 1)

***

No. 25
Entry from the Alexandria database: Li2AgRh after structural relaxation (GGA-PBEsol).

Results
The formation energy is -1.54 kcal/mol of atoms.

Cell: 2.668 2.668 7.854 Å, 90.00 90.00 90.00°
Space group P4/mmm (No. 123)
Symmetry-distinct sites (fractional):
Li  0.000  0.000  0.233 (multiplicity 2)
Ag  0.500  0.500  0.500 (multiplicity 1)
Rh  0.500  0.500  0.000 (multiplicity 1)

***

No. 26
Entry from the Alexandria database: Li2AgRh after structural relaxation (GGA-PBEsol).

Results
The formation energy is -2.39 kcal/mol of atoms.

Cell: 2.851 4.533 8.770 Å, 90.00 90.00 90.00°
Space group Cmmm (No. 65)
Symmetry-distinct sites (fractional):
Li  0.000  0.000  0.232 (multiplicity 4)
Ag  0.000  0.500  0.500 (multiplicity 2)
Rh  0.000  0.500  0.000 (multiplicity 2)

***

No. 27
Entry from the Alexandria database: LiZnAg2Rh after structural relaxation (GGA-PBEsol).

Results
The formation energy is 18.51 kcal/mol of atoms.

Cell: 4.619 4.619 4.189 Å, 90.00 90.00 90.00°
Space group P4/mmm (No. 123)
Symmetry-distinct sites (fractional):
Li  0.000  0.000  0.000 (multiplicity 1)
Zn  0.000  0.000  0.500 (multiplicity 1)
Ag  0.000  0.500  0.500 (multiplicity 2)
Rh  0.500  0.500  0.000 (multiplicity 1)

***

No. 28
Entry from the Alexandria database: Li2AgRu after structural relaxation (GGA-PBEsol).

Results
The excess energy over the best structure of this formula in the dataset comes out at 24.72 kJ/mol of atoms. The formation energy is 9.28 kcal/mol of atoms.

Cell: 5.940 5.940 5.940 Å, 90.00 90.00 90.00°
Space group Fm-3m (No. 225)
Symmetry-distinct sites (fractional):
Li  0.250  0.250  0.250 (multiplicity 8)
Ag  0.000  0.000  0.000 (multiplicity 4)
Ru  0.000  0.000  0.500 (multiplicity 4)

***

No. 29
Entry from the Alexandria database: LiAg2Ru after structural relaxation (GGA-PBEsol).

Results
The excess energy over the best structure of this formula in the dataset comes out at 6.92 kJ/mol of atoms. The formation energy is 7.23 kcal/mol of atoms.

Cell: 2.598 4.214 5.516 Å, 90.00 90.00 90.00°
Space group Pmm2 (No. 25)
Symmetry-distinct sites (fractional):
Li  0.000  0.000  0.000 (multiplicity 1)
Ag  0.000  0.000  0.479 (multiplicity 1)
Ag  0.500  0.500  0.755 (multiplicity 1)
Ru  0.500  0.500  0.247 (multiplicity 1)

***

No. 30
Entry from the Alexandria database: LiAg2Ru after structural relaxation (GGA-PBEsol).

Results
The excess energy over the best structure of this formula in the dataset comes out at 0.00 kJ/mol of atoms. The formation energy is 5.58 kcal/mol of atoms.

Cell: 9.369 2.634 4.898 Å, 90.00 97.68 90.00°
Space group Cm (No. 8)
Symmetry-distinct sites (fractional):
Li  0.000  0.000  0.000 (multiplicity 2)
Ag  0.003  0.500  0.518 (multiplicity 2)
Ag  0.252  0.500  0.235 (multiplicity 2)
Ru  0.249  0.000  0.739 (multiplicity 2)